[1]
CeNd12Ho6: relaxed, PBE.

Properties
ΔE_f	0.03	eV/atom
theoretical density	7.4	Mg/m³
space group	No. 148
magnetic moment	1.270	μB/cell

a = 9.6006 Å, b = 9.6006 Å, c = 9.6006 Å
α = 110.95°, β = 110.95°, γ = 110.95°
Fractional positions:
Ce  0.0000  0.0000  0.0000
Nd  0.0578  0.3723  0.5799
Nd  0.1045  0.7393  0.1568
Nd  0.1568  0.1045  0.7393
Nd  0.2607  0.8432  0.8955
Nd  0.3723  0.5799  0.0578
Nd  0.4201  0.9422  0.6277
Nd  0.5799  0.0578  0.3723
Nd  0.6277  0.4201  0.9422
Nd  0.7393  0.1568  0.1045
Nd  0.8432  0.8955  0.2607
Nd  0.8955  0.2607  0.8432
Nd  0.9422  0.6277  0.4201
Ho  0.2130  0.4705  0.3163
Ho  0.3163  0.2130  0.4705
Ho  0.4705  0.3163  0.2130
Ho  0.5295  0.6837  0.7870
Ho  0.6837  0.7870  0.5295
Ho  0.7870  0.5295  0.6837



[2]
CeNd12Ho3: relaxed, PBE.

Properties
ΔE_f	0.03	eV/atom
theoretical density	7.2	Mg/m³
space group	No. 123
magnetic moment	1.083	μB/cell

a = 5.1542 Å, b = 5.1542 Å, c = 20.5923 Å
α = 90.00°, β = 90.00°, γ = 90.00°
Fractional positions:
Ce  0.0000  0.0000  0.0000
Nd  0.0000  0.5000  0.1245
Nd  0.0000  0.5000  0.3749
Nd  0.0000  0.5000  0.6251
Nd  0.0000  0.5000  0.8755
Nd  0.5000  0.0000  0.1245
Nd  0.5000  0.0000  0.3749
Nd  0.5000  0.0000  0.6251
Nd  0.5000  0.0000  0.8755
Nd  0.5000  0.5000  0.0000
Nd  0.5000  0.5000  0.2518
Nd  0.5000  0.5000  0.5000
Nd  0.5000  0.5000  0.7482
Ho  0.0000  0.0000  0.2500
Ho  0.0000  0.0000  0.5000
Ho  0.0000  0.0000  0.7500



Across the entries above, final energy takes the values -90.0; -76.4 eV/cell, respectively.